1.
Material: Sr2H6OsPt
Method: DFT, PBE
State: optimized geometry

## Properties
- V: 232.35 Å³ per cell
- Energy: -4.29 eV/atom

a = 5.186 Å, b = 5.186 Å, c = 9.975 Å
α = 90.00°, β = 90.00°, γ = 120.00°
Fractional positions:
H 0.851 0.153 0.362
H 0.153 0.301 0.638
H 0.847 0.699 0.362
Pt 0.333 0.667 0.750
H 0.149 0.301 0.862
Sr 0.667 0.333 0.590
H 0.301 0.149 0.362
Sr 0.667 0.333 0.910
H 0.153 0.851 0.862
H 0.699 0.851 0.638
H 0.301 0.153 0.138
Os 0.000 0.000 0.250
Sr 0.333 0.667 0.410
H 0.851 0.699 0.138
Os 0.000 0.000 0.750
H 0.847 0.149 0.138
Pt 0.667 0.333 0.250
H 0.149 0.847 0.638
H 0.699 0.847 0.862
Sr 0.333 0.667 0.090

2.
Material: H2OsSe
Method: DFT, PBE
State: optimized geometry

## Properties
- V: 42.84 Å³ per cell
- Energy: -4.93 eV/atom

a = 5.871 Å, b = 5.871 Å, c = 5.871 Å
α = 29.28°, β = 29.28°, γ = 29.28°
Fractional positions:
Os 0.206 0.206 0.206
H 0.823 0.823 0.823
Se 0.350 0.350 0.350
H 0.577 0.577 0.577

3.
Material: Sr2H6Os
Method: DFT, PBE
State: optimized geometry

## Properties
- V: 107.52 Å³ per cell
- Energy: -4.45 eV/atom

a = 5.338 Å, b = 5.338 Å, c = 5.338 Å
α = 60.00°, β = 60.00°, γ = 60.00°
Fractional positions:
H 0.770 0.230 0.770
Sr 0.750 0.750 0.750
H 0.770 0.770 0.230
H 0.230 0.770 0.770
H 0.770 0.230 0.230
Os 0.000 0.000 0.000
H 0.230 0.770 0.230
H 0.230 0.230 0.770
Sr 0.250 0.250 0.250

4.
Material: Zr2H2Os
Method: DFT, PBE
State: optimized geometry

## Properties
- V: 63.31 Å³ per cell
- Energy: -7.56 eV/atom

a = 6.510 Å, b = 6.510 Å, c = 6.510 Å
α = 151.34°, β = 151.34°, γ = 40.98°
Fractional positions:
H 0.750 0.250 0.500
Zr 0.362 0.362 0.000
H 0.250 0.750 0.500
Os 0.000 0.000 0.000
Zr 0.638 0.638 0.000